Version w
HfF2: relaxed, PBE-GGA.

Cell lengths 6.5911, 6.5911, 6.5911 Å; angles 90.00, 90.00, 90.00 degrees
With the nearest neighbours (Å) after each atom.
Space group Fd-3m (No. 227, origin choice 2)
Asymmetric unit:
Hf 0.1250 0.1250 0.1250 [8 per cell]  12 F 2.73, 4 Hf 2.85
F 0.0000 0.0000 0.5000 [16 per cell]  6 F 2.33



Version x
HfF2: relaxed, PBE-GGA.

Cell lengths 5.5782, 5.5782, 2.7208 Å; angles 90.00, 90.00, 90.00 degrees
With the nearest neighbours (Å) after each atom.
Space group P4_2/mnm (No. 136)
Asymmetric unit:
Hf 0.0000 0.0000 0.0000 [2 per cell]  6 F 2.17-2.24
F 0.2255 0.2255 0.5000 [4 per cell]  3 Hf 2.17-2.24



Most stable one: version x, least stable one: version w.



Version w
Hg2F: relaxed, PBE-GGA.

Cell lengths 7.9491, 7.9491, 7.9491 Å; angles 90.00, 90.00, 90.00 degrees
With the nearest neighbours (Å) after each atom.
Space group Fd-3m (No. 227, origin choice 2)
Asymmetric unit:
Hg 0.0000 0.0000 0.0000 [16 per cell]  6 Hg 2.81
F 0.1250 0.1250 0.6250 [8 per cell]  12 Hg 3.30, 4 F 3.44



Version x
Hg2F: relaxed, PBE-GGA.

Cell lengths 6.2661, 6.2661, 6.2661 Å; angles 90.00, 90.00, 90.00 degrees
With the nearest neighbours (Å) after each atom.
Space group Fm-3m (No. 225)
Asymmetric unit:
Hg 0.2500 0.2500 0.2500 [8 per cell]  4 F 2.71
F 0.0000 0.0000 0.0000 [4 per cell]  8 Hg 2.71



Most stable one: version x, least stable one: version w.



Version w
HgF: relaxed, PBE-GGA.

Cell lengths 5.1883, 5.1883, 5.1883 Å; angles 90.00, 90.00, 90.00 degrees
With the nearest neighbours (Å) after each atom.
Space group Fm-3m (No. 225)
Asymmetric unit:
Hg 0.0000 0.0000 0.0000 [4 per cell]  6 F 2.59
F 0.0000 0.0000 0.5000 [4 per cell]  6 Hg 2.59



Version x
HgF: relaxed, PBE-GGA.

Cell lengths 3.0474, 3.0474, 3.8816 Å; angles 90.00, 90.00, 120.00 degrees
With the nearest neighbours (Å) after each atom.
Space group P-6m2 (No. 187)
Asymmetric unit:
Hg 0.0000 0.0000 0.0000 [1 per cell]  6 F 2.62
F 0.3333 0.6667 0.5000 [1 per cell]  6 Hg 2.62



Most stable one: version x, least stable one: version w.



Version w
KHgF4: relaxed, PBE-GGA.

Cell lengths 7.5105, 10.6698, 5.9115 Å; angles 90.00, 129.23, 90.00 degrees
With the nearest neighbours (Å) after each atom.
Space group C2/c (No. 15)
Asymmetric unit:
K 0.0000 0.1250 0.2500 [4 per cell]  8 F 2.56-2.66
Hg 0.0000 0.3757 0.7500 [4 per cell]  4 F 2.09-2.10
F 0.1949 0.2411 0.7340 [8 per cell]  1 Hg 2.09
F 0.2105 0.4895 0.2645 [8 per cell]  1 Hg 2.10



Version x
KHgF4: relaxed, PBE-GGA.

Cell lengths 5.6918, 5.6918, 6.3490 Å; angles 90.00, 90.00, 90.00 degrees
With the nearest neighbours (Å) after each atom.
Space group P4/mbm (No. 127)
Asymmetric unit:
K 0.0000 0.5000 0.0000 [2 per cell]  12 F 3.04-3.40
Hg 0.0000 0.0000 0.5000 [2 per cell]  6 F 2.10-2.16
F 0.0000 0.0000 0.1693 [4 per cell]  1 Hg 2.10, 1 F 2.15
F 0.1519 0.3482 0.5000 [4 per cell]  2 Hg 2.16



Most stable one: version w, least stable one: version x.